(1)
# MgSc4Cu PBE relaxed
data_MgSc4Cu
_space_group_name_H-M_alt 'C 1 2/m 1'
_space_group_IT_number 12
_cell_length_a 10.055
_cell_length_b 3.265
_cell_length_c 9.277
_cell_angle_alpha 90.00
_cell_angle_beta 113.75
_cell_angle_gamma 90.00
loop_
_space_group_symop_operation_xyz
'x,y,z'
'-x,-y,-z'
'-x,y,-z'
'x,-y,z'
'x+1/2,y+1/2,z'
'-x+1/2,-y+1/2,-z'
'-x+1/2,y+1/2,-z'
'x+1/2,-y+1/2,z'
loop_
_atom_site_label
_atom_site_type_symbol
_atom_site_fract_x
_atom_site_fract_y
_atom_site_fract_z
_atom_site_occupancy
Mg1 Mg 0.000 0.000 0.000 1
Sc1 Sc 0.132 0.000 0.366 1
Sc2 Sc 0.160 0.500 0.828 1
Cu1 Cu 0.000 0.500 0.500 1
# crystal system: monoclinic
# ΔE to the lowest computed polymorph: 0.216 eV per atom


(2)
# MgSc4Cu5 PBE relaxed
data_MgSc4Cu5
_space_group_name_H-M_alt 'P 4/m m m'
_space_group_IT_number 123
_space_group_name_Hall '-P 4 2'
_cell_length_a 3.231
_cell_length_b 3.231
_cell_length_c 16.320
_cell_angle_alpha 90.00
_cell_angle_beta 90.00
_cell_angle_gamma 90.00
loop_
_atom_site_label
_atom_site_type_symbol
_atom_site_fract_x
_atom_site_fract_y
_atom_site_fract_z
_atom_site_occupancy
Mg1 Mg 0.000 0.000 0.000 1
Sc1 Sc 0.000 0.000 0.196 1
Sc2 Sc 0.000 0.000 0.399 1
Cu1 Cu 0.500 0.500 0.099 1
Cu2 Cu 0.500 0.500 0.297 1
Cu3 Cu 0.500 0.500 0.500 1
# crystal system: tetragonal


(3)
# MgSc5Cu4 PBE relaxed
data_MgSc5Cu4
_space_group_name_H-M_alt 'P 4/m m m'
_space_group_IT_number 123
_space_group_name_Hall '-P 4 2'
_cell_length_a 3.249
_cell_length_b 3.249
_cell_length_c 17.568
_cell_angle_alpha 90.00
_cell_angle_beta 90.00
_cell_angle_gamma 90.00
loop_
_atom_site_label
_atom_site_type_symbol
_atom_site_fract_x
_atom_site_fract_y
_atom_site_fract_z
_atom_site_occupancy
Mg1 Mg 0.000 0.000 0.000 1
Sc1 Sc 0.500 0.500 0.129 1
Sc2 Sc 0.500 0.500 0.313 1
Sc3 Sc 0.500 0.500 0.500 1
Cu1 Cu 0.000 0.000 0.218 1
Cu2 Cu 0.000 0.000 0.407 1
# crystal system: tetragonal


In order of appearance, ΔE_f = 0.808; -2.453; -2.345 eV per formula unit.
In order of appearance, DFT total energy = -60.4; -49.9; -52.0 eV for the cell shown.